# TmPuFeO6, optimized geometry, DFT GGA+U
# Calculated total energy (eV per atom): -8.38
data_TmPuFeO6
_chemical_formula_sum 'Tm2 Pu2 Fe2 O12'
_cell_length_a 5.5169
_cell_length_b 5.5169
_cell_length_c 8.7873
_cell_angle_alpha 90.00
_cell_angle_beta 90.00
_cell_angle_gamma 120.00
_symmetry_space_group_name_H-M 'P -3 1 c'
_symmetry_Int_Tables_number 163
_symmetry_space_group_name_Hall '-P 3 2c'
loop_
_atom_site_label
_atom_site_type_symbol
_atom_site_fract_x
_atom_site_fract_y
_atom_site_fract_z
Tm1 Tm 0.3333 0.6667 0.2500
Pu1 Pu 0.3333 0.6667 0.7500
Fe1 Fe 0.0000 0.0000 0.0000
O1 O 0.0220 0.3357 0.6257